# Ba2MgTc PBE-GGA optimized geometry
data_Ba2MgTc
_chemical_formula_sum 'Ba8 Mg4 Tc4'
_cell_length_a 7.7100
_cell_length_b 7.7100
_cell_length_c 7.7100
_cell_angle_alpha 90.00
_cell_angle_beta 90.00
_cell_angle_gamma 90.00
_symmetry_space_group_name_H-M 'F -4 3 m'
_symmetry_Int_Tables_number 216
_symmetry_space_group_name_Hall 'F -4 2 3'
loop_
_atom_site_label
_atom_site_fract_x
_atom_site_fract_y
_atom_site_fract_z
Ba1 0.0000 0.0000 0.0000
Ba2 0.2500 0.2500 0.2500
Mg1 0.2500 0.2500 0.7500
Tc1 0.0000 0.0000 0.5000
# DFT total energy: -3.177 eV/atom